1.
# PBE YNb2Os, optimized geometry
data_YNb2Os
_chemical_formula_sum 'Y2 Nb4 Os2'
_cell_length_a 6.204
_cell_length_b 6.204
_cell_length_c 6.204
_cell_angle_alpha 102.40
_cell_angle_beta 102.40
_cell_angle_gamma 124.78
_space_group_name_H-M_alt 'P 1'
_space_group_IT_number 1
_space_group_name_Hall 'P 1'
loop_
_atom_site_label
_atom_site_type_symbol
_atom_site_fract_x
_atom_site_fract_y
_atom_site_fract_z
Y1 Y 0.000 0.000 0.000
Y2 Y 0.750 0.250 0.500
Nb1 Nb 0.183 0.125 0.558
Nb2 Nb 0.375 0.817 0.942
Nb3 Nb 0.567 0.625 0.442
Nb4 Nb 0.875 0.433 0.058
Os1 Os 0.250 0.750 0.500
Os2 Os 0.500 0.500 0.000
# - E_form: 0.355 eV per atom
# - N(E_F): 9.7 states/eV per cell
# - Size of the total moment: 0.00 μB per cell
# - Energy relative to the lowest polymorph listed for this composition: 21.1 kJ per mole of atoms
# - Space group: I-42d, No. 122


2.
# PBE YNbOs, optimized geometry
data_YNbOs
_chemical_formula_sum 'Y2 Nb2 Os2'
_cell_length_a 5.476
_cell_length_b 5.476
_cell_length_c 5.476
_cell_angle_alpha 117.89
_cell_angle_beta 116.93
_cell_angle_gamma 94.55
_space_group_name_H-M_alt 'P 1'
_space_group_IT_number 1
_space_group_name_Hall 'P 1'
loop_
_atom_site_label
_atom_site_type_symbol
_atom_site_fract_x
_atom_site_fract_y
_atom_site_fract_z
Y1 Y 0.386 0.136 0.250
Y2 Y 0.614 0.864 0.750
Nb1 Nb 0.000 0.000 0.500
Nb2 Nb 0.000 0.500 0.000
Os1 Os 0.000 0.500 0.500
Os2 Os 0.500 0.500 0.000
# - E_form: -0.223 eV per atom
# - N(E_F): 5.6 states/eV per cell
# - Size of the total moment: 0.00 μB per cell
# - Energy relative to the lowest polymorph listed for this composition: 0.0 kJ per mole of atoms
# - Space group: Imma, No. 74